[1]
Computed, not measured: Tb2Ga2Ru2C after structural relaxation at the GGA-PBE level of DFT.

abc: 11.1101 4.0826 7.0807
angles: 90.00 127.96 90.00
Space group C2/m (No. 12)
Symmetry-distinct sites (fractional):
Tb  0.0615  0.0000  0.2891
Ga  0.1500  0.5000  0.6909
Ru  0.1983  0.5000  0.0916
C  0.0000  0.5000  0.0000

## Properties
DFT total energy in eV/atom: -6.7145

---

[2]
Computed, not measured: Th2GaRuC after structural relaxation at the GGA-PBE level of DFT.

abc: 6.8452 3.9449 8.6142
angles: 90.00 112.97 90.00
Space group P2_1/m (No. 11)
Symmetry-distinct sites (fractional):
Th  0.1648  0.2500  0.3904
Th  0.2390  0.7500  0.0197
Ga  0.4376  0.7500  0.7124
Ru  0.2239  0.2500  0.7304
C  0.0142  0.7500  0.1783

## Properties
DFT total energy in eV/atom: -7.6636

---

[3]
Computed, not measured: Th2Ga2Ru4C after structural relaxation at the GGA-PBE level of DFT.

abc: 6.1106 6.1106 8.3561
angles: 90.00 90.00 90.00
Space group I4/mmm (No. 139)
Symmetry-distinct sites (fractional):
Th  0.0000  0.0000  0.2157
Ga  0.0000  0.5000  0.2500
Ru  0.2423  0.2423  0.5000
C  0.0000  0.0000  0.5000

## Properties
DFT total energy in eV/atom: -7.5710

---

[4]
Computed, not measured: ThGaRu2C after structural relaxation at the GGA-PBE level of DFT.

abc: 4.0485 11.3066 7.3037
angles: 90.00 90.00 90.00
Space group Cmcm (No. 63)
Symmetry-distinct sites (fractional):
Th  0.0000  0.0552  0.2500
Ga  0.0000  0.2271  0.7500
Ru  0.0000  0.3384  0.0585
C  0.0000  0.5000  0.0000

## Properties
DFT total energy in eV/atom: -8.0470

---

[5]
Computed, not measured: ThGa2Ru2C after structural relaxation at the GGA-PBE level of DFT.

abc: 4.1517 4.1517 5.5892
angles: 90.00 90.00 90.00
Space group P4/mmm (No. 123)
Symmetry-distinct sites (fractional):
Th  0.0000  0.0000  0.0000
Ga  0.5000  0.5000  0.2210
Ru  0.0000  0.5000  0.5000
C  0.0000  0.0000  0.5000

## Properties
DFT total energy in eV/atom: -7.2655

---

[6]
Computed, not measured: TmGa2Ru2C after structural relaxation at the GGA-PBE level of DFT.

abc: 4.0877 4.0877 5.5232
angles: 90.00 90.00 90.00
Space group P4/mmm (No. 123)
Symmetry-distinct sites (fractional):
Tm  0.0000  0.0000  0.0000
Ga  0.5000  0.5000  0.2171
Ru  0.0000  0.5000  0.5000
C  0.0000  0.0000  0.5000

## Properties
DFT total energy in eV/atom: -6.7483